[1]
ZnGa2Sb: relaxed, PBE-GGA.

## Properties
formation energy without anion corrections: 0.1078 eV per atom
relative energy among the computed polymorphs: 26 meV/atom
E_tot: -2.75 eV/atom

Lattice parameters (Å, degrees): 4.4054 4.4054 4.3231 90.00 90.00 90.00
Fractional coordinates of all 4 atoms:
Zn 0.0000 0.0000 0.0000
Ga 0.0000 0.5000 0.5000
Ga 0.5000 0.0000 0.5000
Sb 0.5000 0.5000 0.0000

***

[2]
ZrTlZnC2: relaxed, PBE-GGA.

## Properties
E_tot: -3.54 eV/atom

Lattice parameters (Å, degrees): 4.3397 4.3397 5.6666 90.00 90.00 90.00
Fractional coordinates of all 5 atoms:
Zr 0.0000 0.0000 0.0000
Tl 0.0000 0.0000 0.5000
Zn 0.5000 0.5000 0.0000
C 0.0000 0.5000 0.5000
C 0.5000 0.0000 0.5000

***

[3]
SmPt4Au8: relaxed, PBE-GGA.

## Properties
relative energy among the computed polymorphs: 0 meV/atom
E_tot: -4.48 eV/atom

Lattice parameters (Å, degrees): 7.1747 7.1747 7.1747 98.96 98.96 133.51
Fractional coordinates of all 13 atoms:
Sm 0.0000 0.0000 0.0000
Pt 0.0000 0.0000 0.5000
Pt 0.0000 0.5000 0.0000
Pt 0.5000 0.0000 0.0000
Pt 0.5000 0.5000 0.5000
Au 0.0000 0.3323 0.3323
Au 0.0000 0.6677 0.6677
Au 0.2826 0.5000 0.7826
Au 0.3323 0.0000 0.3323
Au 0.5000 0.2826 0.7826
Au 0.5000 0.7174 0.2174
Au 0.6677 0.0000 0.6677
Au 0.7174 0.5000 0.2174

***

[4]
RbCaTlBr4: relaxed, PBE-GGA.

## Properties
formation energy without anion corrections: -1.5951 eV per atom
E_tot: -3.31 eV/atom

Lattice parameters (Å, degrees): 9.4446 9.4446 9.4446 144.97 144.97 50.38
Fractional coordinates of all 7 atoms:
Rb 0.0000 0.0000 0.0000
Ca 0.3608 0.3608 0.0000
Tl 0.7167 0.7167 0.0000
Br 0.1946 0.1946 0.0000
Br 0.3626 0.8626 0.5000
Br 0.5320 0.5320 0.0000
Br 0.8626 0.3626 0.5000

***

[5]
HgP2Os: relaxed, PBE-GGA.

## Properties
E_tot: -4.60 eV/atom

Lattice parameters (Å, degrees): 5.1028 5.1028 5.1028 135.54 135.54 64.68
Fractional coordinates of all 4 atoms:
Hg 0.0000 0.0000 0.0000
P 0.5000 0.5000 0.0000
P 0.7500 0.2500 0.5000
Os 0.2500 0.7500 0.5000

***

[6]
Tl6CdBr8: relaxed, PBE-GGA.

## Properties
formation energy without anion corrections: -0.8449 eV per atom
E_tot: -2.74 eV/atom

Lattice parameters (Å, degrees): 8.6152 8.6152 8.6152 70.14 70.14 70.14
Fractional coordinates of all 15 atoms:
Tl 0.0249 0.4448 0.7982
Tl 0.2018 0.9751 0.5552
Tl 0.4448 0.7982 0.0249
Tl 0.5552 0.2018 0.9751
Tl 0.7982 0.0249 0.4448
Tl 0.9751 0.5552 0.2018
Cd 0.5000 0.5000 0.5000
Br 0.1652 0.1652 0.1652
Br 0.1843 0.6560 0.4116
Br 0.3440 0.5884 0.8157
Br 0.4116 0.1843 0.6560
Br 0.5884 0.8157 0.3440
Br 0.6560 0.4116 0.1843
Br 0.8157 0.3440 0.5884
Br 0.8348 0.8348 0.8348